Entry 1:
Material: WBr
Method: DFT, PBE
State: optimized geometry

abc: 3.220 3.118 9.341
angles: 90.00 90.00 90.00
Element x y z (fractional)
W: 0.250 0.000 0.101
W: 0.750 0.000 0.899
Br: 0.250 0.500 0.706
Br: 0.750 0.500 0.294

## Properties
Its density of states at the Fermi level is 0.6269 states/eV per atom. For the formation energy (no corrections), the calculation gives 0.571 eV/atom. The space group is Pmma (51). Its calculated total energy is -26.968 eV for the cell shown. Its excess energy over the best structure of this formula in the dataset is 0.98 eV/f.u.


Entry 2:
Material: SmPtAu2
Method: DFT, PBE
State: optimized geometry

abc: 5.258 13.734 5.223
angles: 90.00 116.93 90.00
Element x y z (fractional)
Sm: 0.000 0.135 0.250
Sm: 0.000 0.865 0.750
Sm: 0.500 0.365 0.750
Sm: 0.500 0.635 0.250
Pt: 0.000 0.251 0.750
Pt: 0.000 0.749 0.250
Pt: 0.500 0.249 0.250
Pt: 0.500 0.751 0.750
Au: 0.182 0.422 0.100
Au: 0.182 0.578 0.600
Au: 0.318 0.078 0.900
Au: 0.318 0.922 0.400
Au: 0.682 0.078 0.600
Au: 0.682 0.922 0.100
Au: 0.818 0.422 0.400
Au: 0.818 0.578 0.900

## Properties
Its density of states at the Fermi level is 0.3955 states/eV per atom. The space group is C2/c (15). Its calculated total energy is -81.508 eV for the cell shown. Its excess energy over the best structure of this formula in the dataset is 0.00 eV/f.u. For the formation energy, the calculation gives -0.766 eV/atom.


Entry 3:
Material: SrCa2AcAu4
Method: DFT, PBE
State: optimized geometry

abc: 9.202 9.202 9.202
angles: 33.83 33.83 33.83
Element x y z (fractional)
Sr: 0.000 0.000 0.000
Ca: 0.253 0.253 0.253
Ca: 0.747 0.747 0.747
Ac: 0.500 0.500 0.500
Au: 0.128 0.128 0.128
Au: 0.376 0.376 0.376
Au: 0.624 0.624 0.624
Au: 0.872 0.872 0.872

## Properties
Its density of states at the Fermi level is 0.5906 states/eV per atom. The space group is R-3m (166). Its calculated total energy is -29.088 eV for the cell shown. For the formation energy, the calculation gives -0.773 eV/atom.


Entry 4:
Material: Mn3SnH
Method: DFT, PBE
State: optimized geometry

abc: 2.811 5.288 7.683
angles: 90.00 90.00 90.00
Element x y z (fractional)
Mn: 0.000 0.000 0.000
Mn: 0.000 0.500 0.500
Mn: 0.500 0.198 0.749
Mn: 0.500 0.302 0.249
Mn: 0.500 0.698 0.249
Mn: 0.500 0.802 0.749
Sn: 0.000 0.000 0.471
Sn: 0.000 0.500 0.971
H: 0.500 0.000 0.134
H: 0.500 0.500 0.634

## Properties
Its density of states at the Fermi level is 0.9141 states/eV per atom. The space group is Amm2 (38). Its calculated total energy is -66.939 eV for the cell shown.


Q: Which of these has the highest calculated total energy?
A: WBr